BeCu2Br: optimized geometry, PBEsol.

The relative energy among the computed polymorphs is 0 meV/atom. The calculation puts the uncorrected formation energy at 0.564 eV per atom. The calculation puts the density of states at the Fermi level at 0.3825 states/eV per atom. As for the volume: 13.870 Å³ per atom.

The space group is Cmmm (No. 65) and the conventional cell measures 4.935, 7.361 and 3.054 Å, with angles of 90.00, 90.00 and 90.00 degrees. The inequivalent atoms are Be at (0.000, 0.000, 0.000), Cu at (0.250, 0.250, 0.500) and Br at (0.000, 0.500, 0.000).